Material: Dy2Ge3Pt9
Method: DFT, PBE-GGA
State: relaxed

The structure in POSCAR format:
```
Dy2Ge3Pt9
1.0
6.7678 -3.9285 0.0000
6.7678 3.9285 0.0000
-4.5611 0.0000 9.0221
Dy Ge Pt
4 6 18
direct
0.0840 0.2548 0.2510 Dy
0.2548 0.0840 0.7510 Dy
0.7452 0.9160 0.2490 Dy
0.9160 0.7452 0.7490 Dy
0.0000 0.5000 0.0000 Ge
0.1390 0.6820 0.5025 Ge
0.3180 0.8610 0.9975 Ge
0.5000 0.0000 0.5000 Ge
0.6820 0.1390 0.0025 Ge
0.8610 0.3180 0.4975 Ge
0.0223 0.8597 0.0782 Pt
0.1403 0.9777 0.4218 Pt
0.1946 0.3598 0.5802 Pt
0.2040 0.5855 0.2580 Pt
0.2970 0.4773 0.9231 Pt
0.3598 0.1946 0.0802 Pt
0.3663 0.6337 0.7500 Pt
0.4145 0.7960 0.2420 Pt
0.4773 0.2970 0.4231 Pt
0.5227 0.7030 0.5769 Pt
0.5855 0.2040 0.7580 Pt
0.6337 0.3663 0.2500 Pt
0.6402 0.8054 0.9198 Pt
0.7030 0.5227 0.0769 Pt
0.7960 0.4145 0.7420 Pt
0.8054 0.6402 0.4198 Pt
0.8597 0.0223 0.5782 Pt
0.9777 0.1403 0.9218 Pt
```

Output
- magnetic moment (μB/f.u.) = 0.01
- electronic total energy (eV per atom) = -6.329

=====

Material: PmYPa
Method: DFT, PBE-GGA
State: relaxed

The structure in POSCAR format:
```
PmYPa
1.0
7.3578 0.0000 0.0000
0.0000 7.3578 0.0000
0.0000 0.0000 7.3578
Pm Y Pa
4 4 4
direct
0.0000 0.0000 0.0000 Pm
0.0000 0.5000 0.5000 Pm
0.5000 0.0000 0.5000 Pm
0.5000 0.5000 0.0000 Pm
0.2500 0.2500 0.2500 Y
0.2500 0.7500 0.7500 Y
0.7500 0.2500 0.7500 Y
0.7500 0.7500 0.2500 Y
0.2500 0.2500 0.7500 Pa
0.2500 0.7500 0.2500 Pa
0.7500 0.2500 0.2500 Pa
0.7500 0.7500 0.7500 Pa
```

Output
- magnetic moment (μB/f.u.) = 2.41
- ΔH_f (0 K) (eV/atom) = 1.103
- electronic total energy (eV per atom) = -5.799

=====

Material: GdAl2Si2
Method: DFT, PBE-GGA
State: relaxed

The structure in POSCAR format:
```
GdAl2Si2
1.0
7.3143 0.0000 0.0000
0.0000 7.3143 0.0000
0.0000 0.0000 3.5381
Gd Al Si
2 4 4
direct
0.0000 0.0000 0.0000 Gd
0.5000 0.5000 0.0000 Gd
0.1562 0.3438 0.5000 Al
0.3438 0.8438 0.5000 Al
0.6562 0.1562 0.5000 Al
0.8438 0.6562 0.5000 Al
0.1211 0.6211 0.0000 Si
0.3789 0.1211 0.0000 Si
0.6211 0.8789 0.0000 Si
0.8789 0.3789 0.0000 Si
```

Output
- magnetic moment (μB/f.u.) = 0.00
- electronic total energy (eV per atom) = -4.765

=====

Material: Ir2CS2
Method: DFT, PBE-GGA
State: relaxed

The structure in POSCAR format:
```
Ir2CS2
1.0
3.4404 0.0000 0.0000
-1.7202 2.9794 0.0000
0.0000 0.0000 7.8032
Ir C S
2 1 2
direct
0.3333 0.6667 0.3729 Ir
0.6667 0.3333 0.6271 Ir
0.0000 0.0000 0.5000 C
0.3333 0.6667 0.8007 S
0.6667 0.3333 0.1993 S
```

Output
- magnetic moment (μB/f.u.) = 0.00
- electronic total energy (eV per atom) = -6.656